# Ta2HgPt (PBEsol, optimized geometry)
data_Ta2HgPt
_symmetry_space_group_name_H-M 'P 1'
_symmetry_Int_Tables_number 1
_cell_length_a 2.850
_cell_length_b 2.850
_cell_length_c 8.410
_cell_angle_alpha 90.00
_cell_angle_beta 90.00
_cell_angle_gamma 90.00
loop_
_symmetry_equiv_pos_as_xyz
'x,y,z'
loop_
_atom_site_label
_atom_site_type_symbol
_atom_site_fract_x
_atom_site_fract_y
_atom_site_fract_z
Hg1 Hg 0.500 0.500 0.000
Pt1 Pt 0.500 0.500 0.500
Ta1 Ta 0.000 0.000 0.736
Ta2 Ta 0.000 0.000 0.264
# Space group: P4/mmm, No. 123
# DOS at the Fermi energy (states/eV/f.u.): 3.0
# Magnetization (Bohr magnetons per cell): 0.00
# E_form (kJ/mol of formula units): -66